# Dy6Y3Ho

A relaxed structure of Dy6Y3Ho (GGA-PBE, Alexandria via LeMat-Bulk).

Cell and atoms, written as POSCAR:
```
Dy6Y3Ho
1.0
4.6923 -7.7032 0.0000
4.6923 7.7032 0.0000
0.0000 0.0000 8.8954
Dy Y Ho
12 6 2
direct
0.0531 0.9469 0.5000
0.1779 0.4710 0.0127
0.1868 0.3049 0.6870
0.2814 0.7186 0.6185
0.3049 0.1868 0.1870
0.4710 0.1779 0.5127
0.5290 0.8221 0.0127
0.6951 0.8132 0.6870
0.7186 0.2814 0.1185
0.8132 0.6951 0.1870
0.8221 0.5290 0.5127
0.9469 0.0531 0.0000
0.0272 0.3240 0.3603
0.3240 0.0272 0.8603
0.4499 0.5501 0.3720
0.5501 0.4499 0.8720
0.6760 0.9728 0.3603
0.9728 0.6760 0.8603
0.2208 0.7792 0.2516
0.7792 0.2208 0.7516
```

E_tot ... -5.027 eV/atom
Excess energy over the best structure of this formula in the dataset ... 0.00 eV per formula unit


# Er6Hg5Au

A relaxed structure of Er6Hg5Au (GGA-PBE, Alexandria via LeMat-Bulk).

Cell and atoms, written as POSCAR:
```
Er6Hg5Au
1.0
5.1771 0.0000 0.0000
0.0000 7.3522 0.0000
-2.5436 0.0000 7.7918
Er Hg Au
6 5 1
direct
0.0000 0.2422 0.0000
0.0000 0.7578 0.0000
0.3368 0.2473 0.6738
0.3368 0.7527 0.6738
0.6632 0.2473 0.3262
0.6632 0.7527 0.3262
0.1680 0.5000 0.3359
0.1705 0.0000 0.3407
0.5000 0.5000 0.0000
0.8295 0.0000 0.6593
0.8320 0.5000 0.6641
0.5000 0.0000 0.0000
```

E_tot ... -3.225 eV/atom


# Pm3PrSm2Bi6

A relaxed structure of Pm3PrSm2Bi6 (GGA-PBE, Alexandria via LeMat-Bulk).

Cell and atoms, written as POSCAR:
```
Pm3PrSm2Bi6
1.0
9.9831 -2.2920 0.0000
9.9831 2.2920 0.0000
-2.0978 0.0000 8.9195
Pm Pr Sm Bi
3 1 2 6
direct
0.0000 0.0000 0.0000
0.3340 0.3340 0.6673
0.6660 0.6660 0.3327
0.0000 0.0000 0.5000
0.3329 0.3329 0.1666
0.6671 0.6671 0.8334
0.1669 0.1669 0.0823
0.1679 0.1679 0.5847
0.4993 0.4993 0.2469
0.5007 0.5007 0.7531
0.8321 0.8321 0.4153
0.8331 0.8331 0.9177
```

E_tot ... -5.252 eV/atom


# Ni2AgSb2

A relaxed structure of Ni2AgSb2 (GGA-PBE, Alexandria via LeMat-Bulk).

Cell and atoms, written as POSCAR:
```
Ni2AgSb2
1.0
-2.4906 2.4906 3.8822
2.4906 -2.4906 3.8822
2.4906 2.4906 -3.8822
Ni Ag Sb
2 1 2
direct
0.1494 0.1494 0.0000
0.8506 0.8506 0.0000
0.5000 0.5000 0.0000
0.2500 0.7500 0.5000
0.7500 0.2500 0.5000
```

E_tot ... -4.330 eV/atom
Energy relative to the elements, uncorrected ... 201 meV per atom
Excess energy over the best structure of this formula in the dataset ... 0.93 eV per formula unit


# Ca6Si2Ag

A relaxed structure of Ca6Si2Ag (GGA-PBE, Alexandria via LeMat-Bulk).

Cell and atoms, written as POSCAR:
```
Ca6Si2Ag
1.0
-4.9097 5.0265 5.3750
4.9097 -5.0265 5.3750
4.9097 5.0265 -5.3750
Ca Si Ag
12 4 2
direct
0.0164 0.8228 0.1936
0.2427 0.5402 0.2975
0.2427 0.9452 0.7025
0.2747 0.3164 0.5911
0.2747 0.6836 0.9583
0.3708 0.1772 0.1936
0.6292 0.8228 0.8064
0.7253 0.3164 0.0417
0.7253 0.6836 0.4089
0.7573 0.0548 0.2975
0.7573 0.4598 0.7025
0.9836 0.1772 0.8064
0.0000 0.1322 0.1322
0.0000 0.8678 0.8678
0.3891 0.3891 0.0000
0.6109 0.6109 0.0000
0.0000 0.5000 0.5000
0.5000 0.0000 0.5000
```

E_tot ... -3.175 eV/atom
Energy relative to the elements, uncorrected ... -318 meV per atom


# Na3Cu2Te3

A relaxed structure of Na3Cu2Te3 (GGA-PBE, Alexandria via LeMat-Bulk).

Cell and atoms, written as POSCAR:
```
Na3Cu2Te3
1.0
2.2136 -6.1293 0.0000
2.2136 6.1293 0.0000
0.0000 0.0000 15.1037
Na Cu Te
6 4 6
direct
0.0724 0.9276 0.6087
0.0724 0.9276 0.8913
0.3385 0.6615 0.7500
0.6615 0.3385 0.2500
0.9276 0.0724 0.1087
0.9276 0.0724 0.3913
0.2387 0.7613 0.0982
0.2387 0.7613 0.4018
0.7613 0.2387 0.5982
0.7613 0.2387 0.9018
0.3489 0.6511 0.2500
0.3644 0.6356 0.5495
0.3644 0.6356 0.9505
0.6356 0.3644 0.0495
0.6356 0.3644 0.4505
0.6511 0.3489 0.7500
```

E_tot ... -3.198 eV/atom
Energy relative to the elements, uncorrected ... -501 meV per atom